CeTm5Al6, optimized geometry, DFT PBE-GGA; energy of formation from the pure elements = -0.368 eV per atom; space-group type = Immm (71); magnetization = 0.87 μB/cell
1.0
-2.529 3.557 7.611
2.529 -3.557 7.611
2.529 3.557 -7.611
Ce Tm Al
1 5 6
Direct
0.000 0.000 0.000
0.163 0.663 0.500
0.332 0.332 0.000
0.500 0.000 0.500
0.668 0.668 0.000
0.837 0.337 0.500
0.087 0.830 0.257
0.265 0.500 0.765
0.428 0.170 0.257
0.572 0.830 0.743
0.735 0.500 0.235
0.913 0.170 0.743

CeTm3Al8, optimized geometry, DFT PBE-GGA; energy relative to the lowest polymorph listed for this composition = 1.0 kJ/mol of atoms; energy of formation from the pure elements = -0.469 eV per atom; space-group type = P3m1 (156); magnetization = 0.51 μB/cell
1.0
5.528 0.000 0.000
-2.764 4.787 0.000
0.000 0.000 9.104
Ce Tm Al
1 3 8
Direct
0.000 0.000 0.000
0.000 0.000 0.362
0.667 0.333 0.498
0.667 0.333 0.865
0.162 0.324 0.680
0.162 0.838 0.680
0.333 0.667 0.436
0.333 0.667 0.931
0.504 0.008 0.185
0.504 0.496 0.185
0.676 0.838 0.680
0.992 0.496 0.185

CeTm4Al2, optimized geometry, DFT PBE-GGA; energy of formation from the pure elements = -0.084 eV per atom; space-group type = P2_1/m (11); magnetization = 4.03 μB/cell
1.0
8.085 0.000 0.000
0.000 6.379 0.000
-3.170 0.000 7.615
Ce Tm Al
2 8 4
Direct
0.144 0.250 0.011
0.856 0.750 0.989
0.011 0.250 0.387
0.237 0.750 0.349
0.405 0.003 0.752
0.405 0.497 0.752
0.595 0.503 0.248
0.595 0.997 0.248
0.763 0.250 0.651
0.989 0.750 0.613
0.263 0.750 0.995
0.380 0.250 0.414
0.620 0.750 0.586
0.737 0.250 0.005

CeTm2Al3, optimized geometry, DFT PBE-GGA; energy of formation from the pure elements = -0.357 eV per atom; space-group type = P4/mmm (123); magnetization = 0.59 μB/cell
1.0
3.507 0.000 0.000
0.000 3.507 0.000
0.000 0.000 11.254
Ce Tm Al
1 2 3
Direct
0.000 0.000 0.000
0.000 0.000 0.340
0.000 0.000 0.660
0.500 0.500 0.179
0.500 0.500 0.500
0.500 0.500 0.821

CeTm3Al8, optimized geometry, DFT PBE-GGA; energy relative to the lowest polymorph listed for this composition = 0.0 kJ/mol of atoms; energy of formation from the pure elements = -0.480 eV per atom; space-group type = R3m (160); magnetization = 0.41 μB/cell
1.0
2.768 1.598 9.072
-2.768 1.598 9.072
0.000 -3.196 9.072
Ce Tm Al
1 3 8
Direct
0.000 0.000 0.000
0.375 0.375 0.375
0.500 0.500 0.500
0.875 0.875 0.875
0.187 0.187 0.187
0.437 0.437 0.936
0.437 0.936 0.437
0.438 0.938 0.938
0.688 0.688 0.688
0.936 0.437 0.437
0.938 0.438 0.938
0.938 0.938 0.438

CeTmAl4, optimized geometry, DFT PBE-GGA; energy of formation from the pure elements = -0.448 eV per atom; space-group type = F-43m (216); magnetization = 0.54 μB/cell
1.0
0.000 3.942 3.942
3.942 0.000 3.942
3.942 3.942 0.000
Ce Tm Al
1 1 4
Direct
0.000 0.000 0.000
0.750 0.750 0.750
0.375 0.375 0.375
0.375 0.375 0.876
0.375 0.876 0.375
0.876 0.375 0.375

CeTmAl, optimized geometry, DFT PBE-GGA; energy relative to the lowest polymorph listed for this composition = 0.0 kJ/mol of atoms; energy of formation from the pure elements = -0.214 eV per atom; space-group type = Cm (8); magnetization = 0.01 μB/cell
1.0
4.461 -2.584 0.000
4.461 2.584 0.000
-0.150 0.000 6.550
Ce Tm Al
2 2 2
Direct
0.000 0.000 0.000
0.723 0.723 0.823
0.041 0.041 0.524
0.369 0.369 0.247
0.380 0.380 0.736
0.704 0.704 0.315

CeTmAl, optimized geometry, DFT PBE-GGA; energy relative to the lowest polymorph listed for this composition = 0.5 kJ/mol of atoms; energy of formation from the pure elements = -0.209 eV per atom; space-group type = P2_1/m (11); magnetization = 0.00 μB/cell
1.0
3.447 0.000 0.000
0.000 4.889 0.000
-0.103 0.000 8.882
Ce Tm Al
2 2 2
Direct
0.200 0.250 0.040
0.800 0.750 0.960
0.219 0.750 0.616
0.781 0.250 0.384
0.306 0.750 0.270
0.694 0.250 0.730

CeTmAl, optimized geometry, DFT PBE-GGA; energy relative to the lowest polymorph listed for this composition = 20.3 kJ/mol of atoms; energy of formation from the pure elements = -0.004 eV per atom; space-group type = P-6m2 (187); magnetization = 0.84 μB/cell
1.0
5.184 0.000 0.000
-2.592 4.489 0.000
0.000 0.000 3.034
Ce Tm Al
1 1 1
Direct
0.000 0.000 0.000
0.333 0.667 0.000
0.667 0.333 0.500

Ce2Tm3Al3, optimized geometry, DFT PBE-GGA; energy of formation from the pure elements = -0.271 eV per atom; space-group type = C2/m (12); magnetization = 0.00 μB/cell
1.0
11.085 -1.745 0.000
11.085 1.745 0.000
-1.029 0.000 5.008
Ce Tm Al
2 3 3
Direct
0.236 0.236 0.204
0.764 0.764 0.796
0.000 0.000 0.000
0.118 0.118 0.573
0.882 0.882 0.427
0.383 0.383 0.931
0.500 0.500 0.500
0.617 0.617 0.069

CeTmZrAl, optimized geometry, DFT PBE-GGA; energy of formation from the pure elements = -0.034 eV per atom; space-group type = F-43m (216); magnetization = 0.00 μB/cell
1.0
0.000 3.647 3.647
3.647 0.000 3.647
3.647 3.647 0.000
Ce Tm Zr Al
1 1 1 1
Direct
0.000 0.000 0.000
0.500 0.500 0.500
0.250 0.250 0.250
0.750 0.750 0.750

CeAl2V, optimized geometry, DFT PBE-GGA; energy of formation from the pure elements = -0.048 eV per atom; space-group type = R-3m (166); magnetization = 0.00 μB/cell
1.0
1.442 0.832 9.942
-1.442 0.832 9.942
0.000 -1.665 9.942
Ce Al V
1 2 1
Direct
0.000 0.000 0.000
0.238 0.238 0.238
0.762 0.762 0.762
0.500 0.500 0.500

Copy entry 5 word for word.
CeTm3Al8, optimized geometry, DFT PBE-GGA; energy relative to the lowest polymorph listed for this composition = 0.0 kJ/mol of atoms; energy of formation from the pure elements = -0.480 eV per atom; space-group type = R3m (160); magnetization = 0.41 μB/cell
1.0
2.768 1.598 9.072
-2.768 1.598 9.072
0.000 -3.196 9.072
Ce Tm Al
1 3 8
Direct
0.000 0.000 0.000
0.375 0.375 0.375
0.500 0.500 0.500
0.875 0.875 0.875
0.187 0.187 0.187
0.437 0.437 0.936
0.437 0.936 0.437
0.438 0.938 0.938
0.688 0.688 0.688
0.936 0.437 0.437
0.938 0.438 0.938
0.938 0.938 0.438

Question: What is the magnetization in the fourth record?
Answer: 0.59 μB/cell

Please write out number 6 again, unchanged.
CeTmAl4, optimized geometry, DFT PBE-GGA; energy of formation from the pure elements = -0.448 eV per atom; space-group type = F-43m (216); magnetization = 0.54 μB/cell
1.0
0.000 3.942 3.942
3.942 0.000 3.942
3.942 3.942 0.000
Ce Tm Al
1 1 4
Direct
0.000 0.000 0.000
0.750 0.750 0.750
0.375 0.375 0.375
0.375 0.375 0.876
0.375 0.876 0.375
0.876 0.375 0.375